Model i:
A geometry-optimized SrGaS2N structure. Source: Alexandria, functional PBE.

The structure in CIF format:
```
data_SrGaS2N
_chemical_formula_sum 'Sr1 Ga1 S2 N1'
_cell_length_a 5.615
_cell_length_b 5.615
_cell_length_c 4.688
_cell_angle_alpha 90.00
_cell_angle_beta 90.00
_cell_angle_gamma 90.00
_symmetry_space_group_name_H-M 'P 4/m m m'
_symmetry_Int_Tables_number 123
_symmetry_space_group_name_Hall '-P 4 2'
loop_
_atom_site_label
_atom_site_type_symbol
_atom_site_fract_x
_atom_site_fract_y
_atom_site_fract_z
_atom_site_occupancy
Sr1 Sr 0.000 0.000 0.000 1
Ga1 Ga 0.500 0.500 0.500 1
S1 S 0.000 0.500 0.000 1
N1 N 0.000 0.000 0.500 1
```



Model ii:
A geometry-optimized SrGaS2N structure. Source: Alexandria, functional PBE.

The structure in CIF format:
```
data_SrGaS2N
_chemical_formula_sum 'Sr1 Ga1 S2 N1'
_cell_length_a 4.986
_cell_length_b 4.986
_cell_length_c 3.932
_cell_angle_alpha 90.00
_cell_angle_beta 90.00
_cell_angle_gamma 90.00
_symmetry_space_group_name_H-M 'P 4/m m m'
_symmetry_Int_Tables_number 123
_symmetry_space_group_name_Hall '-P 4 2'
loop_
_atom_site_label
_atom_site_type_symbol
_atom_site_fract_x
_atom_site_fract_y
_atom_site_fract_z
_atom_site_occupancy
Sr1 Sr 0.000 0.000 0.000 1
Ga1 Ga 0.500 0.500 0.500 1
S1 S 0.000 0.500 0.500 1
N1 N 0.500 0.500 0.000 1
```



Stability, lowest: model i